(1)
LiCa2Ni PBE relaxed; symmetry = P4mm, No. 99; electronic total energy = -2.8319 eV/atom; crystal system = tetragonal
1.0
-0.6032 3.3868 -0.7416
-3.4461 -0.6684 -0.2494
-0.8550 1.5344 7.7030
Ca Li Ni
2 1 1
Direct
0.0000 0.0000 0.9192 Ca
0.5000 0.5000 0.3146 Ca
0.0000 0.0000 0.5723 Li
0.5000 0.5000 0.6939 Ni


(2)
Hf2Mn2Ir PBE relaxed; symmetry = P4/mbm, No. 127; crystal system = tetragonal; energy above the lowest structure with this stoichiometry = 0.0 meV per atom
1.0
-5.9427 -1.3722 -1.6569
1.7713 -0.3582 -6.0562
0.7773 -3.9211 0.4593
Ir Hf Mn
2 4 4
Direct
0.0000 0.0000 0.0000 Ir
0.5000 0.5000 0.0000 Ir
0.1838 0.6838 0.5000 Hf
0.6838 0.8162 0.5000 Hf
0.8162 0.3162 0.5000 Hf
0.3162 0.1838 0.5000 Hf
0.3887 0.8887 0.0000 Mn
0.8887 0.6113 0.0000 Mn
0.6113 0.1113 0.0000 Mn
0.1113 0.3887 0.0000 Mn


(3)
DyPa2CrC4 PBE relaxed; symmetry = Cmcm, No. 63; electronic total energy = -8.9314 eV/atom; crystal system = orthorhombic
1.0
3.5396 0.0000 0.0000
-1.7698 5.7419 0.0000
0.0000 0.0000 12.1209
Dy Pa Cr C
2 4 2 8
Direct
0.1092 0.2185 0.7500 Dy
0.8908 0.7815 0.2500 Dy
0.3667 0.7334 0.5474 Pa
0.6333 0.2666 0.0474 Pa
0.6333 0.2666 0.4526 Pa
0.3667 0.7334 0.9526 Pa
0.8383 0.6767 0.7500 Cr
0.1617 0.3233 0.2500 Cr
0.2651 0.5302 0.1305 C
0.7349 0.4698 0.6305 C
0.7349 0.4698 0.8695 C
0.2651 0.5302 0.3695 C
0.0000 0.0000 0.5000 C
0.0000 0.0000 0.0000 C
0.4156 0.8313 0.7500 C
0.5844 0.1687 0.2500 C


(4)
Pr3Er8Sc PBE relaxed; symmetry = I-42m, No. 121; electronic total energy = -4.1710 eV/atom; crystal system = tetragonal
1.0
-0.7351 7.6999 3.1255
-0.3871 -0.7740 -8.2975
-6.2251 -5.3313 1.5565
Pr Er Sc
3 8 1
Direct
0.5000 0.7500 0.2500 Pr
0.5000 0.2500 0.7500 Pr
0.0000 0.5000 0.5000 Pr
0.4645 0.2045 0.2045 Er
0.5355 0.7401 0.7401 Er
0.0000 0.7955 0.2599 Er
0.0000 0.2599 0.7955 Er
0.2508 0.3631 0.3631 Er
0.7492 0.1123 0.1123 Er
0.0000 0.6369 0.8877 Er
0.0000 0.8877 0.6369 Er
0.0000 0.0000 0.0000 Sc


(5)
PICl3 PBE relaxed; symmetry = Ima2, No. 46; raw formation energy = -10.0 kcal/mol of atoms; crystal system = orthorhombic; energy above the lowest structure with this stoichiometry = 13.4 meV per atom
1.0
11.6286 0.0000 -4.5182
-1.2175 6.7778 -3.1334
-2.9902 -0.3551 9.5274
P I Cl
2 2 6
Direct
0.0838 0.1454 0.5000 P
0.5838 0.8546 0.5000 P
0.1462 0.8098 0.5000 I
0.6462 0.1902 0.5000 I
0.5989 0.9614 0.7339 Cl
0.3650 0.7274 0.2661 Cl
0.0989 0.2726 0.7339 Cl
0.6478 0.5866 0.5000 Cl
0.8650 0.0386 0.2661 Cl
0.1478 0.4134 0.5000 Cl


(6)
CuNi PBE relaxed; symmetry = P6_3/mmc, No. 194; electronic total energy = -4.7211 eV/atom; crystal system = hexagonal
1.0
1.9728 -3.4170 0.0000
1.9728 3.4170 0.0000
0.0000 0.0000 7.2649
Cu Ni
4 4
Direct
0.3333 0.6667 0.0815 Cu
0.6667 0.3333 0.5815 Cu
0.6667 0.3333 0.9185 Cu
0.3333 0.6667 0.4185 Cu
0.0000 0.0000 0.2500 Ni
0.0000 0.0000 0.7500 Ni
0.3333 0.6667 0.7500 Ni
0.6667 0.3333 0.2500 Ni


(7)
TbU2Tl2Se6 PBE relaxed; symmetry = C2/m, No. 12; raw formation energy = -26.5 kcal/mol of atoms; crystal system = monoclinic
1.0
7.2095 -0.0276 0.0765
-3.5874 6.2537 0.0765
-1.2753 -2.1921 7.7976
Tb U Tl Se
1 2 2 6
Direct
0.0000 0.0000 0.5000 Tb
0.3338 0.6662 0.5000 U
0.6662 0.3338 0.5000 U
0.8348 0.1652 0.0000 Tl
0.1652 0.8348 0.0000 Tl
0.7314 0.7314 0.7028 Se
0.0659 0.4026 0.7023 Se
0.2686 0.2686 0.2972 Se
0.4026 0.0659 0.7023 Se
0.9341 0.5974 0.2977 Se
0.5974 0.9341 0.2977 Se


(8)
Y2ErAlS6 PBE relaxed; symmetry = R3, No. 146; raw formation energy = -40.5 kcal/mol of atoms; crystal system = trigonal
1.0
6.7136 0.0002 0.0000
3.3569 5.8143 0.0005
3.3564 1.9388 5.9162
Y Er Al S
2 1 1 6
Direct
0.5229 0.5229 0.4312 Y
0.0209 0.0208 0.9375 Y
0.8169 0.8170 0.5492 Er
0.3205 0.3205 0.0385 Al
0.5827 0.2089 0.2490 S
0.2088 0.9595 0.2491 S
0.9596 0.5826 0.2491 S
0.4309 0.6861 0.7705 S
0.6860 0.1124 0.7706 S
0.1125 0.4309 0.7705 S


(9)
LaSm7Er4 PBE relaxed; symmetry = C2/m, No. 12; crystal system = monoclinic; energy above the lowest structure with this stoichiometry = 246.5 meV per atom
1.0
5.9869 0.0000 0.0000
2.9934 11.2204 -0.2290
2.9934 0.1816 6.0467
La Sm Er
1 7 4
Direct
0.0000 0.0000 0.0000 La
0.7911 0.9199 0.4978 Sm
0.2089 0.0801 0.5022 Sm
0.0575 0.6668 0.2183 Sm
0.9425 0.3332 0.7817 Sm
0.3683 0.5044 0.7590 Sm
0.5000 0.0000 0.0000 Sm
0.6317 0.4956 0.2410 Sm
0.6319 0.2252 0.5111 Er
0.3681 0.7748 0.4889 Er
0.7451 0.6855 0.8242 Er
0.2549 0.3145 0.1758 Er


(10)
TaN PBE relaxed; symmetry = Pm-3n, No. 223; raw formation energy = -11.4 kcal/mol of atoms; crystal system = cubic
1.0
5.8014 0.0000 0.0000
0.0000 5.8014 0.0000
0.0000 0.0000 5.8014
Ta N
6 6
Direct
0.2500 0.0000 0.5000 Ta
0.7500 0.0000 0.5000 Ta
0.0000 0.5000 0.2500 Ta
0.0000 0.5000 0.7500 Ta
0.5000 0.2500 0.0000 Ta
0.5000 0.7500 0.0000 Ta
0.2500 0.5000 0.0000 N
0.7500 0.5000 0.0000 N
0.5000 0.0000 0.2500 N
0.5000 0.0000 0.7500 N
0.0000 0.2500 0.5000 N
0.0000 0.7500 0.5000 N


(11)
Ba4Sr2Ca5 PBE relaxed; symmetry = C2/m, No. 12; crystal system = monoclinic; energy above the lowest structure with this stoichiometry = 40.6 meV per atom
1.0
-2.3014 -3.1078 -0.9233
2.8514 0.8014 -9.8050
9.3498 -7.8548 11.6933
Ba Sr Ca
4 2 5
Direct
0.7298 0.6429 0.4595 Ba
0.0464 0.7464 0.0928 Ba
0.2702 0.3571 0.5405 Ba
0.9536 0.2536 0.9072 Ba
0.5904 0.4700 0.1808 Sr
0.4096 0.5300 0.8192 Sr
0.1853 0.9005 0.3706 Ca
0.8147 0.0995 0.6294 Ca
0.1302 0.2052 0.2605 Ca
0.5000 0.0000 0.0000 Ca
0.8698 0.7948 0.7395 Ca


(12)
Dy3Tl2Te PBE relaxed; symmetry = C2/c, No. 15; raw formation energy = -13.2 kcal/mol of atoms; crystal system = monoclinic
1.0
6.2103 0.0000 0.0000
0.0000 7.8975 0.0016
-3.1052 -1.9757 7.2856
Dy Tl Te
6 4 2
Direct
0.5006 0.2500 0.0000 Dy
0.4994 0.7500 0.0000 Dy
0.1616 0.0805 0.3228 Dy
0.8388 0.4195 0.6772 Dy
0.1612 0.5805 0.3228 Dy
0.8384 0.9195 0.6772 Dy
0.6698 0.5855 0.3401 Tl
0.6703 0.0855 0.3401 Tl
0.3297 0.9145 0.6599 Tl
0.3302 0.4145 0.6599 Tl
0.9994 0.7500 0.0000 Te
0.0006 0.2500 0.0000 Te


(13)
NdMoC PBE relaxed; symmetry = P-6m2, No. 187; electronic total energy = -7.9587 eV/atom; crystal system = hexagonal
1.0
-4.6028 -0.4130 0.4881
0.2256 -3.5287 -0.8584
0.2743 1.0485 3.4735
Mo Nd C
1 1 1
Direct
0.1668 0.0000 0.0000 Mo
0.6662 0.6667 0.3333 Nd
0.1671 0.3333 0.6667 C


(14)
ScCd2Hg3 PBE relaxed; symmetry = C2/m, No. 12; crystal system = monoclinic; energy above the lowest structure with this stoichiometry = 50.1 meV per atom
1.0
-2.2828 -1.1876 -2.2052
-2.9830 -7.1807 6.9550
-2.9384 8.6160 1.0058
Sc Cd Hg
2 4 6
Direct
0.3867 0.0168 0.7735 Sc
0.6133 0.9832 0.2265 Sc
0.2825 0.6426 0.5649 Cd
0.7175 0.3574 0.4351 Cd
0.9429 0.8260 0.8858 Cd
0.0571 0.1740 0.1142 Cd
0.2647 0.1541 0.5293 Hg
0.0657 0.7123 0.1313 Hg
0.3973 0.5048 0.7947 Hg
0.7353 0.8459 0.4707 Hg
0.6027 0.4952 0.2053 Hg
0.9343 0.2877 0.8687 Hg


(15)
Na7Hg3Pd PBE relaxed; symmetry = Cmcm, No. 63; electronic total energy = -1.5427 eV/atom; crystal system = orthorhombic
1.0
-0.9986 3.0177 -1.1377
-11.4590 -4.3136 3.6258
1.9633 5.4197 12.6529
Na Hg Pd
14 6 2
Direct
0.3249 0.6498 0.7500 Na
0.6751 0.3502 0.2500 Na
0.5468 0.0936 0.3643 Na
0.4532 0.9064 0.6357 Na
0.4532 0.9064 0.8643 Na
0.5468 0.0936 0.1357 Na
0.4196 0.8393 0.4028 Na
0.5804 0.1607 0.5972 Na
0.2788 0.5576 0.3948 Na
0.7212 0.4424 0.6052 Na
0.7212 0.4424 0.8948 Na
0.2788 0.5576 0.1052 Na
0.4196 0.8393 0.0972 Na
0.5804 0.1607 0.9028 Na
0.1523 0.3047 0.4436 Hg
0.8477 0.6953 0.5564 Hg
0.1454 0.2908 0.7500 Hg
0.8546 0.7092 0.2500 Hg
0.1523 0.3047 0.0564 Hg
0.8477 0.6953 0.9436 Hg
0.9682 0.9364 0.2500 Pd
0.0318 0.0636 0.7500 Pd


(16)
LiGaC2S PBE relaxed; symmetry = P4/mmm, No. 123; raw formation energy = 37.9 kcal/mol of atoms; crystal system = tetragonal
1.0
3.7909 0.0000 0.0000
0.0000 4.4127 0.0000
0.0000 0.0000 3.7909
S C Ga Li
1 2 1 1
Direct
0.0000 0.0000 0.0000 S
0.0000 0.0000 0.5000 C
0.5000 0.0000 0.0000 C
0.5000 0.5000 0.5000 Ga
0.0000 0.5000 0.0000 Li


(17)
LaCd5 PBE relaxed; symmetry = P4/mmm, No. 123; electronic total energy = -1.7246 eV/atom; crystal system = tetragonal
1.0
-1.1195 -1.4527 -3.1821
2.8334 -2.3358 0.0695
-6.1989 -7.3547 5.5385
La Cd
1 5
Direct
0.5000 0.5000 0.5000 La
0.0000 0.0000 0.6981 Cd
0.5000 0.5000 0.8463 Cd
0.0000 0.0000 0.0000 Cd
0.5000 0.5000 0.1537 Cd
0.0000 0.0000 0.3019 Cd


(18)
Y4Co PBE relaxed; symmetry = Fdd2, No. 43; crystal system = orthorhombic; energy above the lowest structure with this stoichiometry = 0.0 meV per atom
1.0
-3.9762 5.2801 3.1609
-4.8853 3.6882 -3.8148
-6.4995 -1.7025 3.1594
Y Co
8 2
Direct
0.4412 0.7372 0.8352 Y
0.0136 0.2628 0.1648 Y
0.0283 0.2413 0.6647 Y
0.9343 0.7587 0.3353 Y
0.5196 0.2587 0.1647 Y
0.9430 0.7413 0.8353 Y
0.5264 0.2372 0.6648 Y
0.4284 0.7628 0.3352 Y
0.2345 0.5000 0.5000 Co
0.9845 0.0000 0.0000 Co


(19)
K2YP PBE relaxed; symmetry = Pm, No. 6; electronic total energy = -4.0056 eV/atom; crystal system = monoclinic
1.0
3.9023 0.0000 0.0000
0.0000 3.9923 0.0092
0.0000 1.8595 10.6124
K P Y
2 1 1
Direct
0.0000 0.0996 0.9406 K
0.5000 0.3978 0.3154 K
0.0000 0.2565 0.6106 P
0.5000 0.7460 0.6334 Y


(20)
KCaY2 PBE relaxed; symmetry = Fm-3m, No. 225; crystal system = cubic; energy above the lowest structure with this stoichiometry = 343.3 meV per atom
1.0
0.0000 4.2582 4.2582
4.2582 0.0000 4.2582
4.2582 4.2582 0.0000
Y Ca K
2 1 1
Direct
0.2500 0.2500 0.2500 Y
0.7500 0.7500 0.7500 Y
0.5000 0.5000 0.5000 Ca
0.0000 0.0000 0.0000 K